Below is a geometry-optimized Sr2HfBeCd structure, with properties calculated at the PBE level.

a = 6.1891 Å, b = 6.1891 Å, c = 5.3636 Å
α = 90.00°, β = 90.00°, γ = 90.00°
With the nearest neighbours (Å) after each atom.
Element x y z (fractional)
Sr  0.0000  0.5000  0.0000  2 Hf 3.09
Sr  0.5000  0.0000  0.0000  2 Hf 3.09
Hf  0.0000  0.0000  0.0000  2 Cd 2.68
Be  0.5000  0.5000  0.5000  8 Sr 4.09, 4 Cd 4.38
Cd  0.0000  0.0000  0.5000  2 Hf 2.68

Computed properties:
As for the calculated volume: 205.5 Å³ per cell. The value obtained for the calculated total energy is -2.27 eV per atom. The value obtained for the offset from the most stable computed form is 574 meV/atom. For the formation energy, the calculation gives 127 kJ per mole of atoms. For the density, the calculation gives 3.84 Mg/m³. For the total magnetization, the calculation gives 0.184 μB/atom.

***

Below is a geometry-optimized Ba2ZnGa3Sn4 structure, with properties calculated at the PBE level.

a = 5.0837 Å, b = 5.0837 Å, c = 10.7123 Å
α = 90.00°, β = 90.00°, γ = 90.00°
With the nearest neighbours (Å) after each atom.
Element x y z (fractional)
Ba  0.0000  0.5000  0.2412  2 Zn 3.62, 6 Ga 3.62-3.88, 9 Sn 3.76-3.89
Ba  0.5000  0.0000  0.7588  2 Zn 3.62, 6 Ga 3.62-3.88, 9 Sn 3.76-3.89
Zn  0.5000  0.5000  0.0000  4 Sn 2.86
Ga  0.0000  0.0000  0.0000  4 Sn 2.86
Ga  0.0000  0.5000  0.6231  5 Sn 2.73-2.86
Ga  0.5000  0.0000  0.3769  5 Sn 2.73-2.86
Sn  0.0000  0.0000  0.5000  4 Ga 2.86
Sn  0.0000  0.5000  0.8781  3 Ga 2.73-2.86, 2 Zn 2.86
Sn  0.5000  0.0000  0.1219  3 Ga 2.73-2.86, 2 Zn 2.86
Sn  0.5000  0.5000  0.5000  4 Ga 2.86

Computed properties:
As for the calculated volume: 276.8 Å³ per cell. The value obtained for the calculated total energy is -3.40 eV per atom. For the formation energy, the calculation gives -37 kJ per mole of atoms. For the density, the calculation gives 6.14 Mg/m³. For the total magnetization, the calculation gives 0.000 μB/atom.

***

Below is a geometry-optimized GdThOs4 structure, with properties calculated at the PBE level.

a = 5.4251 Å, b = 5.4251 Å, c = 5.4251 Å
α = 60.00°, β = 60.00°, γ = 60.00°
With the nearest neighbours (Å) after each atom.
Element x y z (fractional)
Gd  0.0000  0.0000  0.0000  12 Os 3.18, 4 Th 3.32
Th  0.7500  0.7500  0.7500  12 Os 3.18, 4 Gd 3.32
Os  0.3748  0.3748  0.3748  6 Os 2.71-2.72
Os  0.3748  0.3748  0.8757  6 Os 2.71-2.72
Os  0.3748  0.8757  0.3748  6 Os 2.71-2.72
Os  0.8757  0.3748  0.3748  6 Os 2.71-2.72

Computed properties:
As for the calculated volume: 112.9 Å³ per cell. The value obtained for the calculated total energy is -11.31 eV per atom. For the formation energy, the calculation gives -23 kJ per mole of atoms. For the density, the calculation gives 16.92 Mg/m³. For the total magnetization, the calculation gives 1.154 μB/atom.

***

Below is a geometry-optimized SrSbW2 structure, with properties calculated at the PBE level.

a = 10.1393 Å, b = 3.4177 Å, c = 5.7939 Å
α = 90.00°, β = 101.59°, γ = 90.00°
With the nearest neighbours (Å) after each atom.
Element x y z (fractional)
Sr  0.0000  0.0000  0.0000  4 Sb 3.36, 2 Sr 3.42, 6 W 3.45-3.47
Sr  0.5000  0.5000  0.0000  4 Sb 3.36, 2 Sr 3.42, 6 W 3.45-3.47
Sb  0.0000  0.5000  0.5000  6 W 2.93-2.96
Sb  0.5000  0.0000  0.5000  6 W 2.93-2.96
W  0.2363  0.0000  0.6469  2 W 2.47
W  0.2637  0.5000  0.3531  2 W 2.47
W  0.7363  0.5000  0.6469  2 W 2.47
W  0.7637  0.0000  0.3531  2 W 2.47

Computed properties:
As for the calculated volume: 196.7 Å³ per cell. The value obtained for the calculated total energy is -7.27 eV per atom. The uncorrected formation energy is 0.66 eV per atom. For the density, the calculation gives 9.74 Mg/m³. For the total magnetization, the calculation gives 0.000 μB/atom.

***

Below is a geometry-optimized Ho6Sc2Al structure, with properties calculated at the PBE level.

a = 9.8742 Å, b = 9.8923 Å, c = 5.1850 Å
α = 90.00°, β = 90.00°, γ = 90.00°
With the nearest neighbours (Å) after each atom.
Element x y z (fractional)
Ho  0.0378  0.1868  0.0000  1 Al 3.12, 3 Sc 3.24-3.26, 1 Ho 3.40
Ho  0.1237  0.6225  0.5000  2 Al 3.11, 3 Ho 3.40-3.44, 4 Sc 3.42-3.47
Ho  0.1866  0.9603  0.5000  1 Al 3.12, 3 Sc 3.25-3.27, 1 Ho 3.40
Ho  0.3134  0.4603  0.0000  1 Al 3.12, 3 Sc 3.25-3.27, 1 Ho 3.40
Ho  0.3763  0.1225  0.0000  2 Al 3.11, 3 Ho 3.40-3.44, 4 Sc 3.42-3.47
Ho  0.4622  0.6868  0.5000  1 Al 3.12, 3 Sc 3.24-3.26, 1 Ho 3.40
Ho  0.5378  0.3132  0.5000  1 Al 3.12, 3 Sc 3.24-3.26, 1 Ho 3.40
Ho  0.6237  0.8775  0.0000  2 Al 3.11, 3 Ho 3.40-3.44, 4 Sc 3.42-3.47
Ho  0.6866  0.5397  0.0000  1 Al 3.12, 3 Sc 3.25-3.27, 1 Ho 3.40
Ho  0.8134  0.0397  0.5000  1 Al 3.12, 3 Sc 3.25-3.27, 1 Ho 3.40
Ho  0.8763  0.3775  0.5000  2 Al 3.11, 3 Ho 3.40-3.44, 4 Sc 3.42-3.47
Ho  0.9622  0.8132  0.0000  1 Al 3.12, 3 Sc 3.24-3.26, 1 Ho 3.40
Sc  0.2107  0.2876  0.5000  10 Ho 3.24-3.47
Sc  0.2893  0.7876  0.0000  10 Ho 3.24-3.47
Sc  0.7107  0.2124  0.0000  10 Ho 3.24-3.47
Sc  0.7893  0.7124  0.5000  10 Ho 3.24-3.47
Al  0.0000  0.5000  0.0000  8 Ho 3.11-3.12
Al  0.5000  0.0000  0.5000  8 Ho 3.11-3.12

Computed properties:
As for the calculated volume: 506.5 Å³ per cell. The value obtained for the calculated total energy is -4.90 eV per atom. For the formation energy, the calculation gives -3 kJ per mole of atoms. For the density, the calculation gives 7.26 Mg/m³. For the total magnetization, the calculation gives 0.002 μB/atom.

***

Below is a geometry-optimized Pm2Al2Ni3 structure, with properties calculated at the PBE level.

a = 7.0867 Å, b = 7.0867 Å, c = 7.0867 Å
α = 109.47°, β = 109.47°, γ = 109.47°
With the nearest neighbours (Å) after each atom.
Element x y z (fractional)
Pm  0.0000  0.9913  0.5000  3 Ni 2.75, 1 Al 3.02
Pm  0.5000  0.0000  0.9913  3 Ni 2.75, 1 Al 3.02
Pm  0.5087  0.5087  0.5087  3 Ni 2.75, 1 Al 3.02
Pm  0.9913  0.5000  0.0000  3 Ni 2.75, 1 Al 3.02
Al  0.0000  0.5654  0.5000  3 Ni 2.39
Al  0.5000  0.0000  0.5654  3 Ni 2.39
Al  0.5654  0.5000  0.0000  3 Ni 2.39
Al  0.9346  0.9346  0.9346  3 Ni 2.39
Ni  0.0340  0.2500  0.2840  2 Al 2.39
Ni  0.2160  0.4660  0.7500  2 Al 2.39
Ni  0.2500  0.2840  0.0340  2 Al 2.39
Ni  0.2840  0.0340  0.2500  2 Al 2.39
Ni  0.4660  0.7500  0.2160  2 Al 2.39
Ni  0.7500  0.2160  0.4660  2 Al 2.39

Computed properties:
As for the calculated volume: 274.0 Å³ per cell. The value obtained for the calculated total energy is -5.19 eV per atom. For the formation energy, the calculation gives -28 kJ per mole of atoms. For the density, the calculation gives 6.30 Mg/m³. For the total magnetization, the calculation gives 0.000 μB/atom.

***

Below is a geometry-optimized FeS structure, with properties calculated at the PBE level.

a = 8.3081 Å, b = 8.3081 Å, c = 3.4727 Å
α = 90.00°, β = 90.00°, γ = 120.00°
With the nearest neighbours (Å) after each atom.
Element x y z (fractional)
Fe  0.0640  0.6295  0.2500  4 S 2.13-2.17
Fe  0.3705  0.4345  0.2500  4 S 2.13-2.17
Fe  0.4345  0.0640  0.7500  4 S 2.13-2.17
Fe  0.5655  0.9360  0.2500  4 S 2.13-2.17
Fe  0.6295  0.5655  0.7500  4 S 2.13-2.17
Fe  0.9360  0.3705  0.7500  4 S 2.13-2.17
S  0.0914  0.3837  0.2500  4 Fe 2.13-2.17
S  0.2922  0.9086  0.2500  4 Fe 2.13-2.17
S  0.3837  0.2922  0.7500  4 Fe 2.13-2.17
S  0.6163  0.7078  0.2500  4 Fe 2.13-2.17
S  0.7078  0.0914  0.7500  4 Fe 2.13-2.17
S  0.9086  0.6163  0.7500  4 Fe 2.13-2.17

Computed properties:
As for the calculated volume: 207.6 Å³ per cell. The value obtained for the calculated total energy is -6.65 eV per atom. The uncorrected formation energy is -0.36 eV per atom. For the density, the calculation gives 4.22 Mg/m³. For the total magnetization, the calculation gives 0.000 μB/atom.

***

Below is a geometry-optimized NbSbP2S structure, with properties calculated at the PBE level.

a = 4.9673 Å, b = 4.9673 Å, c = 4.6177 Å
α = 90.00°, β = 90.00°, γ = 90.00°
With the nearest neighbours (Å) after each atom.
Element x y z (fractional)
Nb  0.0000  0.0000  0.0000  2 S 2.31, 4 P 2.48
Sb  0.5000  0.5000  0.5000  8 P 3.39, 4 S 3.51
P  0.0000  0.5000  0.0000  2 Nb 2.48
P  0.5000  0.0000  0.0000  2 Nb 2.48
S  0.0000  0.0000  0.5000  2 Nb 2.31

Computed properties:
As for the calculated volume: 113.9 Å³ per cell. The value obtained for the calculated total energy is -5.54 eV per atom. The value obtained for the offset from the most stable computed form is 0 meV/atom. The uncorrected formation energy is 0.29 eV per atom. For the density, the calculation gives 4.50 Mg/m³. For the total magnetization, the calculation gives 0.000 μB/atom.

***

Below is a geometry-optimized Ho2TmSe4 structure, with properties calculated at the PBE level.

a = 8.0294 Å, b = 8.0294 Å, c = 8.0294 Å
α = 119.49°, β = 119.30°, γ = 91.05°
With the nearest neighbours (Å) after each atom.
Element x y z (fractional)
Ho  0.0000  0.0000  0.0000  6 Se 2.82-2.88
Ho  0.5000  0.0000  0.0000  6 Se 2.85-2.89
Ho  0.5000  0.0000  0.5000  6 Se 2.82-2.88
Ho  0.5000  0.5000  0.5000  6 Se 2.85-2.89
Tm  0.0000  0.5000  0.5000  6 Se 2.80-2.85
Tm  0.5000  0.5000  0.0000  6 Se 2.80-2.85
Se  0.2436  0.2456  0.5021  2 Tm 2.85, 3 Ho 2.88-2.89
Se  0.2436  0.7415  0.9979  2 Tm 2.85, 3 Ho 2.88-2.89
Se  0.2507  0.7490  0.5017  1 Tm 2.80, 3 Ho 2.82-2.85
Se  0.2527  0.2510  0.0017  1 Tm 2.80, 3 Ho 2.82-2.85
Se  0.7473  0.7490  0.9983  1 Tm 2.80, 3 Ho 2.82-2.85
Se  0.7493  0.2510  0.4983  1 Tm 2.80, 3 Ho 2.82-2.85
Se  0.7564  0.2585  0.0021  2 Tm 2.85, 3 Ho 2.88-2.89
Se  0.7564  0.7544  0.4979  2 Tm 2.85, 3 Ho 2.88-2.89

Computed properties:
As for the calculated volume: 369.3 Å³ per cell. The value obtained for the calculated total energy is -5.80 eV per atom. The value obtained for the offset from the most stable computed form is 0 meV/atom. The uncorrected formation energy is -1.86 eV per atom. For the density, the calculation gives 7.33 Mg/m³. For the total magnetization, the calculation gives 0.000 μB/atom.

***

Below is a geometry-optimized Ca2CuPtAu6 structure, with properties calculated at the PBE level.

a = 7.0553 Å, b = 7.0553 Å, c = 7.0553 Å
α = 60.00°, β = 60.00°, γ = 60.00°
With the nearest neighbours (Å) after each atom.
Element x y z (fractional)
Ca  0.2500  0.2500  0.2500  12 Au 3.53
Ca  0.7500  0.7500  0.7500  12 Au 3.53
Cu  0.0000  0.0000  0.0000  6 Au 2.41
Pt  0.5000  0.5000  0.5000  6 Au 2.58
Au  0.2419  0.2419  0.7581  1 Cu 2.41, 1 Pt 2.58
Au  0.2419  0.7581  0.2419  1 Cu 2.41, 1 Pt 2.58
Au  0.2419  0.7581  0.7581  1 Cu 2.41, 1 Pt 2.58
Au  0.7581  0.2419  0.2419  1 Cu 2.41, 1 Pt 2.58
Au  0.7581  0.2419  0.7581  1 Cu 2.41, 1 Pt 2.58
Au  0.7581  0.7581  0.2419  1 Cu 2.41, 1 Pt 2.58

Computed properties:
As for the calculated volume: 248.3 Å³ per cell. The value obtained for the calculated total energy is -3.51 eV per atom. For the formation energy, the calculation gives -12 kJ per mole of atoms. For the density, the calculation gives 10.17 Mg/m³. For the total magnetization, the calculation gives 0.000 μB/atom.

***

Below is a geometry-optimized Dy2TmSc6 structure, with properties calculated at the PBE level.

a = 3.3867 Å, b = 3.3867 Å, c = 24.3413 Å
α = 90.00°, β = 90.00°, γ = 120.00°
With the nearest neighbours (Å) after each atom.
Element x y z (fractional)
Dy  0.0000  0.0000  0.1726  6 Sc 3.33-3.37, 6 Dy 3.39
Dy  0.0000  0.0000  0.8274  6 Sc 3.33-3.37, 6 Dy 3.39
Tm  0.6667  0.3333  0.5000  6 Sc 3.34, 6 Tm 3.39
Sc  0.0000  0.0000  0.3889  9 Sc 3.19-3.39, 3 Tm 3.34
Sc  0.0000  0.0000  0.6111  9 Sc 3.19-3.39, 3 Tm 3.34
Sc  0.6667  0.3333  0.0617  1 Sc 3.01, 3 Dy 3.33
Sc  0.6667  0.3333  0.2856  9 Sc 3.19-3.39, 3 Dy 3.37
Sc  0.6667  0.3333  0.7144  9 Sc 3.19-3.39, 3 Dy 3.37
Sc  0.6667  0.3333  0.9383  1 Sc 3.01, 3 Dy 3.33

Computed properties:
As for the calculated volume: 241.8 Å³ per cell. The value obtained for the calculated total energy is -5.67 eV per atom. The value obtained for the offset from the most stable computed form is 11 meV/atom. For the formation energy, the calculation gives 7 kJ per mole of atoms. For the density, the calculation gives 5.24 Mg/m³. For the total magnetization, the calculation gives 0.135 μB/atom.

***

Below is a geometry-optimized FeHBr2 structure, with properties calculated at the PBE level.

a = 3.7479 Å, b = 3.7479 Å, c = 18.3775 Å
α = 90.00°, β = 90.00°, γ = 120.00°
With the nearest neighbours (Å) after each atom.
Element x y z (fractional)
Fe  0.0000  0.0000  0.0000  6 Br 2.50
Fe  0.3333  0.6667  0.6667  6 Br 2.50
Fe  0.6667  0.3333  0.3333  6 Br 2.50
H  0.0000  0.0000  0.5000  2 Br 1.80
H  0.3333  0.6667  0.1667  2 Br 1.80
H  0.6667  0.3333  0.8333  2 Br 1.80
Br  0.0000  0.0000  0.4018  1 H 1.80
Br  0.0000  0.0000  0.5982  1 H 1.80
Br  0.3333  0.6667  0.0685  1 H 1.80
Br  0.3333  0.6667  0.2649  1 H 1.80
Br  0.6667  0.3333  0.7351  1 H 1.80
Br  0.6667  0.3333  0.9315  1 H 1.80

Computed properties:
As for the calculated volume: 223.6 Å³ per cell. The value obtained for the calculated total energy is -3.37 eV per atom. For the density, the calculation gives 4.83 Mg/m³. For the total magnetization, the calculation gives 0.000 μB/atom.

***

What is the total magnetization in the ninth record? 0.000 μB/atom

***

Which of these has the lowest calculated volume? GdThOs4